1.
The following is a DFT calculation (GGA-PBEsol) of a relaxed Zn2PRu crystal.

```
4
Lattice="0.000 2.987 2.987 2.987 0.000 2.987 2.987 2.987 0.000" Properties=species:S:1:pos:R:3 pbc="T T T"
Zn 0.000 0.000 0.000
Zn 1.494 1.494 1.494
P 2.987 2.987 2.987
Ru 4.481 4.481 4.481
```

Calculated values
As for the space group: F-43m (216). The calculation puts the total energy at -18.439 eV/cell. For the magnetization, the calculation gives 0.00 μB per atom.

2.
The following is a DFT calculation (GGA-PBEsol) of a relaxed LiAg2Pd crystal.

```
4
Lattice="0.000 3.134 3.134 3.134 0.000 3.134 3.134 3.134 0.000" Properties=species:S:1:pos:R:3 pbc="T T T"
Li 0.000 0.000 0.000
Ag 1.567 1.567 1.567
Ag 4.700 4.700 4.700
Pd 3.134 3.134 3.134
```

Calculated values
As for the space group: Fm-3m (225). The calculation puts the total energy at -15.267 eV/cell. For the magnetization, the calculation gives 0.00 μB per atom.

3.
The following is a DFT calculation (GGA-PBEsol) of a relaxed Rb2ZrAlS crystal.

```
5
Lattice="6.127 0.000 0.000 0.000 6.127 0.000 0.000 0.000 5.217" Properties=species:S:1:pos:R:3 pbc="T T T"
Rb 0.000 3.063 0.000
Rb 3.063 0.000 0.000
Zr 0.000 0.000 2.608
Al 0.000 0.000 0.000
S 3.063 3.063 2.608
```

Calculated values
The calculation puts the energy relative to the elements, uncorrected at 862 meV per atom. As for the space group: P4/mmm (123). The calculation puts the total energy at -15.306 eV/cell. For the magnetization, the calculation gives 0.00 μB per atom.

4.
The following is a DFT calculation (GGA-PBEsol) of a relaxed K3BaPCO7 crystal.

```
26
Lattice="5.666 0.000 0.000 0.000 7.689 0.000 -0.091 0.000 9.974" Properties=species:S:1:pos:R:3 pbc="T T T"
K 1.369 0.039 2.599
K 1.369 3.806 2.599
K 1.382 1.922 5.896
K 4.192 5.767 4.078
K 4.206 3.883 7.375
K 4.206 7.650 7.375
Ba 1.491 5.767 9.020
Ba 4.084 1.922 0.954
P 1.159 1.922 9.055
P 4.415 5.767 0.919
C 1.395 5.767 5.743
C 4.179 1.922 4.231
O 0.247 5.767 1.328
O 0.305 5.767 6.455
O 1.321 1.922 0.644
O 1.327 5.767 4.449
O 1.863 0.662 8.478
O 1.863 3.183 8.478
O 2.553 5.767 6.334
O 3.022 1.922 3.640
O 3.712 4.506 1.496
O 3.712 7.027 1.496
O 4.248 1.922 5.525
O 4.253 5.767 9.330
O 5.270 1.922 3.519
O 5.328 1.922 8.646
```

Calculated values
The calculation puts the energy relative to the elements, uncorrected at -2237 meV per atom. As for the space group: P2_1/m (11). The calculation puts the total energy at -173.632 eV/cell. For the magnetization, the calculation gives 0.00 μB per atom.